{"formula": "NaPuFeO4", "functional": "GGA+U", "state": "relaxed", "dft_energy_ev_per_atom": -8.050, "space_group": "Imma, No. 74", "m_tot_mub_per_fu": 7.0, "mass_density_g_cm3": 6.39, "lattice_angstrom": [[-4.438, -3.371, 3.368], [3.948, -3.082, -4.177], [2.343, 2.782, 5.871]], "species": ["Na", "Na", "Pu", "Pu", "Fe", "Fe", "O", "O", "O", "O", "O", "O", "O", "O"], "fractional_positions": [[0.861, 0.721, 0.111], [0.139, 0.279, 0.889], [0.500, 0.000, 0.500], [0.500, 0.000, 0.000], [0.500, 0.500, 0.500], [0.000, 0.500, 0.500], [0.730, 0.460, 0.685], [0.290, 0.996, 0.248], [0.706, 0.996, 0.248], [0.730, 0.460, 0.275], [0.270, 0.540, 0.725], [0.710, 0.004, 0.752], [0.294, 0.004, 0.752], [0.270, 0.540, 0.315]]}